one | Here is P2RuAuO after structural relaxation from Alexandria via LeMat-Bulk. Energies are from PBE.

## Properties
The calculation puts the theoretical density at 7.6 g/cm3. The spin magnetization is 0.000 μB/f.u. As for the space group: P4/mmm, No. 123.

Cell: 4.755 4.755 3.653 Å, 90.00 90.00 90.00°
Sites, in units of the cell vectors:
P  0.000  0.500  0.000
P  0.500  0.000  0.000
Ru  0.000  0.000  0.000
Au  0.500  0.500  0.500
O  0.000  0.000  0.500

two | Here is P2RuAuO after structural relaxation from Alexandria via LeMat-Bulk. Energies are from PBE.

## Properties
The calculation puts the theoretical density at 7.0 g/cm3. The spin magnetization is 2.228 μB/f.u. As for the space group: P4/mmm, No. 123.

Cell: 4.797 4.797 3.875 Å, 90.00 90.00 90.00°
Sites, in units of the cell vectors:
P  0.000  0.500  0.000
P  0.500  0.000  0.000
Ru  0.000  0.000  0.500
Au  0.500  0.500  0.000
O  0.500  0.500  0.500

Stability, descending: one, two

one | Here is SbPAuO2 after structural relaxation from Alexandria via LeMat-Bulk. Energies are from PBE.

## Properties
The calculation puts the theoretical density at 7.7 g/cm3. The spin magnetization is 0.000 μB/f.u. As for the space group: P4/mmm, No. 123.

Cell: 4.101 4.101 4.888 Å, 90.00 90.00 90.00°
Sites, in units of the cell vectors:
Sb  0.000  0.000  0.000
P  0.500  0.500  0.000
Au  0.500  0.500  0.500
O  0.000  0.500  0.500
O  0.500  0.000  0.500

two | Here is SbPAuO2 after structural relaxation from Alexandria via LeMat-Bulk. Energies are from PBE.

## Properties
The calculation puts the theoretical density at 7.7 g/cm3. The spin magnetization is 0.000 μB/f.u. As for the space group: P4/mmm, No. 123.

Cell: 3.852 3.852 5.567 Å, 90.00 90.00 90.00°
Sites, in units of the cell vectors:
Sb  0.000  0.000  0.000
P  0.000  0.000  0.500
Au  0.500  0.500  0.500
O  0.000  0.500  0.000
O  0.500  0.000  0.000

Stability, descending: two, one

one | Here is P2AuSeO after structural relaxation from Alexandria via LeMat-Bulk. Energies are from PBE.

## Properties
The calculation puts the theoretical density at 6.3 g/cm3. The spin magnetization is 0.000 μB/f.u. As for the space group: P4/mmm, No. 123.

Cell: 4.876 4.876 3.945 Å, 90.00 90.00 90.00°
Sites, in units of the cell vectors:
P  0.000  0.500  0.000
P  0.500  0.000  0.000
Au  0.000  0.000  0.000
Se  0.500  0.500  0.500
O  0.000  0.000  0.500

two | Here is P2AuSeO after structural relaxation from Alexandria via LeMat-Bulk. Energies are from PBE.

## Properties
The calculation puts the theoretical density at 6.8 g/cm3. The spin magnetization is 0.000 μB/f.u. As for the space group: P4/mmm, No. 123.

Cell: 4.894 4.894 3.619 Å, 90.00 90.00 90.00°
Sites, in units of the cell vectors:
P  0.000  0.500  0.000
P  0.500  0.000  0.000
Au  0.000  0.000  0.500
Se  0.500  0.500  0.000
O  0.500  0.500  0.500

Stability, descending: two, one

one | Here is SiP2AuO after structural relaxation from Alexandria via LeMat-Bulk. Energies are from PBE.

## Properties
The calculation puts the theoretical density at 5.4 g/cm3. The spin magnetization is 0.003 μB/f.u. As for the space group: P4/mmm, No. 123.

Cell: 4.880 4.880 3.903 Å, 90.00 90.00 90.00°
Sites, in units of the cell vectors:
Si  0.000  0.000  0.000
P  0.000  0.500  0.500
P  0.500  0.000  0.500
Au  0.500  0.500  0.500
O  0.500  0.500  0.000

two | Here is SiP2AuO after structural relaxation from Alexandria via LeMat-Bulk. Energies are from PBE.

## Properties
The calculation puts the theoretical density at 6.7 g/cm3. The spin magnetization is 0.000 μB/f.u. As for the space group: P4/mmm, No. 123.

Cell: 4.798 4.798 3.239 Å, 90.00 90.00 90.00°
Sites, in units of the cell vectors:
Si  0.000  0.000  0.000
P  0.000  0.500  0.000
P  0.500  0.000  0.000
Au  0.500  0.500  0.500
O  0.000  0.000  0.500

Stability, descending: two, one

one | Here is SrPAuO2 after structural relaxation from Alexandria via LeMat-Bulk. Energies are from PBE.

## Properties
The calculation puts the theoretical density at 4.2 g/cm3. The spin magnetization is 3.342 μB/f.u. As for the space group: P4/mmm, No. 123.

Cell: 4.361 4.361 7.172 Å, 90.00 90.00 90.00°
Sites, in units of the cell vectors:
Sr  0.000  0.000  0.000
P  0.000  0.000  0.500
Au  0.500  0.500  0.500
O  0.000  0.500  0.000
O  0.500  0.000  0.000

two | Here is SrPAuO2 after structural relaxation from Alexandria via LeMat-Bulk. Energies are from PBE.

## Properties
The calculation puts the theoretical density at 6.5 g/cm3. The spin magnetization is 0.005 μB/f.u. As for the space group: P4/mmm, No. 123.

Cell: 4.410 4.410 4.589 Å, 90.00 90.00 90.00°
Sites, in units of the cell vectors:
Sr  0.000  0.000  0.000
P  0.500  0.500  0.000
Au  0.500  0.500  0.500
O  0.000  0.500  0.500
O  0.500  0.000  0.500

Stability, descending: two, one

one | Here is TaP2AuO after structural relaxation from Alexandria via LeMat-Bulk. Energies are from PBE.

## Properties
The calculation puts the theoretical density at 8.1 g/cm3. The spin magnetization is 0.000 μB/f.u. As for the space group: P4/mmm, No. 123.

Cell: 4.957 4.957 3.820 Å, 90.00 90.00 90.00°
Sites, in units of the cell vectors:
Ta  0.000  0.000  0.000
P  0.000  0.500  0.000
P  0.500  0.000  0.000
Au  0.500  0.500  0.500
O  0.000  0.000  0.500

two | Here is TaP2AuO after structural relaxation from Alexandria via LeMat-Bulk. Energies are from PBE.

## Properties
The calculation puts the theoretical density at 8.6 g/cm3. The spin magnetization is 0.001 μB/f.u. As for the space group: P4/mmm, No. 123.

Cell: 4.756 4.756 3.878 Å, 90.00 90.00 90.00°
Sites, in units of the cell vectors:
Ta  0.000  0.000  0.000
P  0.000  0.500  0.500
P  0.500  0.000  0.500
Au  0.500  0.500  0.500
O  0.500  0.500  0.000

Stability, descending: one, two